*one*
The following is a GGA-PBE calculation of a geometry-optimized YV3Tc structure, from Alexandria.

Structure (CIF):
```
data_YV3Tc
_cell_length_a 4.6247
_cell_length_b 4.6247
_cell_length_c 4.6247
_cell_angle_alpha 90.00
_cell_angle_beta 90.00
_cell_angle_gamma 90.00
_space_group_name_H-M_alt 'P m -3 m'
_space_group_IT_number 221
_space_group_name_Hall '-P 4 2 3'
loop_
_atom_site_label
_atom_site_type_symbol
_atom_site_fract_x
_atom_site_fract_y
_atom_site_fract_z
Y1 Y 0.0000 0.0000 0.0000
V1 V 0.0000 0.5000 0.5000
Tc1 Tc 0.5000 0.5000 0.5000
```

---

*two*
The following is a GGA-PBE calculation of a geometry-optimized YV3Tc structure, from Alexandria.

Structure (CIF):
```
data_YV3Tc
_cell_length_a 4.5618
_cell_length_b 4.5618
_cell_length_c 4.5618
_cell_angle_alpha 90.00
_cell_angle_beta 90.00
_cell_angle_gamma 90.00
_space_group_name_H-M_alt 'P m -3 m'
_space_group_IT_number 221
_space_group_name_Hall '-P 4 2 3'
loop_
_atom_site_label
_atom_site_type_symbol
_atom_site_fract_x
_atom_site_fract_y
_atom_site_fract_z
Y1 Y 0.0000 0.0000 0.0000
V1 V 0.0000 0.0000 0.5000
Tc1 Tc 0.5000 0.5000 0.5000
```

---

Relative energies, in meV per atom, with the most stable structure set to zero: *one* 0; *two* 1544.

---

*one*
The following is a GGA-PBE calculation of a geometry-optimized Zr3VTc structure, from Alexandria.

Structure (CIF):
```
data_Zr3VTc
_cell_length_a 4.9994
_cell_length_b 4.9994
_cell_length_c 4.9994
_cell_angle_alpha 90.00
_cell_angle_beta 90.00
_cell_angle_gamma 90.00
_space_group_name_H-M_alt 'P m -3 m'
_space_group_IT_number 221
_space_group_name_Hall '-P 4 2 3'
loop_
_atom_site_label
_atom_site_type_symbol
_atom_site_fract_x
_atom_site_fract_y
_atom_site_fract_z
Zr1 Zr 0.0000 0.0000 0.5000
V1 V 0.5000 0.5000 0.5000
Tc1 Tc 0.0000 0.0000 0.0000
```

---

*two*
The following is a GGA-PBE calculation of a geometry-optimized Zr3VTc structure, from Alexandria.

Structure (CIF):
```
data_Zr3VTc
_cell_length_a 4.7909
_cell_length_b 4.7909
_cell_length_c 4.7909
_cell_angle_alpha 90.00
_cell_angle_beta 90.00
_cell_angle_gamma 90.00
_space_group_name_H-M_alt 'P m -3 m'
_space_group_IT_number 221
_space_group_name_Hall '-P 4 2 3'
loop_
_atom_site_label
_atom_site_type_symbol
_atom_site_fract_x
_atom_site_fract_y
_atom_site_fract_z
Zr1 Zr 0.0000 0.0000 0.5000
V1 V 0.0000 0.0000 0.0000
Tc1 Tc 0.5000 0.5000 0.5000
```

---

Relative energies, in meV per atom, with the most stable structure set to zero: *one* 0; *two* 200.